Here is MgSc2In3 after structural relaxation from the Alexandria database. Energies are from GGA-PBE.

Output
electronic total energy = -3.999 eV/atom
total magnetic moment = 0.000 μB per formula unit
energy relative to the elements = -0.254 eV per atom
excess energy over the best structure of this formula in the dataset = 0.100 eV per atom
space group = C2/c, No. 15

a b c (Å): 6.1426 5.9193 8.4744
angles (deg): 103.94 111.25 90.00
With the nearest neighbours (Å) after each atom.
Sites, in units of the cell vectors:
In: 0.9635 0.4480 0.6738  5 Sc 2.96-3.28, 2 Mg 3.09-3.11, 1 In 3.18
Sc: 0.5485 0.5738 0.3426  7 In 2.96-3.28, 1 Sc 3.24, 1 Mg 3.30
Mg: 0.1162 0.2500 0.0000  6 In 3.01-3.13, 2 Mg 3.29, 2 Sc 3.30
Sc: 0.7941 0.0738 0.3426  7 In 2.96-3.28, 1 Sc 3.24, 1 Mg 3.30
In: 0.3934 0.7500 0.0000  2 Mg 3.01-3.13, 4 Sc 3.14-3.21, 4 In 3.18-3.24
Sc: 0.2059 0.9262 0.6574  7 In 2.96-3.28, 1 Sc 3.24, 1 Mg 3.30
In: 0.2897 0.0520 0.3262  5 Sc 2.96-3.28, 2 Mg 3.09-3.11, 1 In 3.18
Sc: 0.4515 0.4262 0.6574  7 In 2.96-3.28, 1 Sc 3.24, 1 Mg 3.30
In: 0.0365 0.5520 0.3262  5 Sc 2.96-3.28, 2 Mg 3.09-3.11, 1 In 3.18
In: 0.6066 0.2500 0.0000  2 Mg 3.01-3.13, 4 Sc 3.14-3.21, 4 In 3.18-3.24
In: 0.7103 0.9480 0.6738  5 Sc 2.96-3.28, 2 Mg 3.09-3.11, 1 In 3.18
Mg: 0.8838 0.7500 0.0000  6 In 3.01-3.13, 2 Mg 3.29, 2 Sc 3.30


Here is Mg5Sc6In after structural relaxation from the Alexandria database. Energies are from GGA-PBE.

Output
electronic total energy = -4.189 eV/atom
total magnetic moment = 0.000 μB per formula unit
energy relative to the elements = -0.130 eV per atom
space group = Cmmm, No. 65

a b c (Å): 5.0653 7.1342 8.0287
angles (deg): 90.00 71.61 90.00
With the nearest neighbours (Å) after each atom.
Sites, in units of the cell vectors:
Mg: 0.3338 0.5000 0.3324  8 Sc 3.09-3.10
Sc: 0.5000 0.2514 0.0000  6 Mg 3.09-3.15, 2 In 3.10
Sc: 0.8330 0.7488 0.3339  7 Mg 3.07-3.10, 1 In 3.11
Sc: 0.5000 0.7486 0.0000  6 Mg 3.09-3.15, 2 In 3.10
Mg: 0.0000 0.5000 0.0000  8 Sc 3.09-3.10
Mg: 0.6696 0.0000 0.6608  8 Sc 3.07-3.15
Sc: 0.1669 0.7488 0.6661  7 Mg 3.07-3.10, 1 In 3.11
Mg: 0.3304 0.0000 0.3392  8 Sc 3.07-3.15
Mg: 0.6662 0.5000 0.6676  8 Sc 3.09-3.10
In: 0.0000 0.0000 0.0000  8 Sc 3.10-3.11
Sc: 0.8331 0.2512 0.3339  7 Mg 3.07-3.10, 1 In 3.11
Sc: 0.1669 0.2512 0.6661  7 Mg 3.07-3.10, 1 In 3.11


Here is MgSc3In4 after structural relaxation from the Alexandria database. Energies are from GGA-PBE.

Output
electronic total energy = -4.313 eV/atom
total magnetic moment = 0.759 μB per formula unit
energy relative to the elements = -0.371 eV per atom
space group = I4/mmm, No. 139

a b c (Å): 4.5189 4.5189 9.3452
angles (deg): 103.96 103.99 90.00
With the nearest neighbours (Å) after each atom.
Sites, in units of the cell vectors:
Sc: 0.0000 0.5000 0.0000  8 In 3.14, 4 Mg 3.20
In: 0.3758 0.3757 0.7516  6 Sc 3.10-3.22, 2 Mg 3.14, 4 In 3.19-3.20
Sc: 0.7551 0.2551 0.5103  8 In 3.10-3.22, 4 Sc 3.20
In: 0.1242 0.1241 0.2484  6 Sc 3.10-3.22, 2 Mg 3.14, 4 In 3.19-3.20
Sc: 0.2449 0.7449 0.4897  8 In 3.10-3.22, 4 Sc 3.20
In: 0.6242 0.6243 0.2484  6 Sc 3.10-3.22, 2 Mg 3.14, 4 In 3.19-3.20
In: 0.8758 0.8759 0.7516  6 Sc 3.10-3.22, 2 Mg 3.14, 4 In 3.19-3.20
Mg: 0.5000 0.0000 0.0000  8 In 3.14, 4 Sc 3.20


Here is MgScIn after structural relaxation from the Alexandria database. Energies are from GGA-PBE.

Output
electronic total energy = -3.782 eV/atom
total magnetic moment = 0.000 μB per formula unit
energy relative to the elements = -0.227 eV per atom
space group = P-1, No. 2

a b c (Å): 5.4317 4.6242 6.2061
angles (deg): 89.90 103.48 64.72
With the nearest neighbours (Å) after each atom.
Sites, in units of the cell vectors:
Mg: 0.9984 0.6119 0.6887  2 Mg 3.10, 4 In 3.16-3.17, 6 Sc 3.18-3.20
Mg: 0.9985 0.6118 0.1887  2 Mg 3.10, 4 Sc 3.19-3.20, 6 In 3.19-3.22
In: 0.6738 0.2743 0.3768  5 Sc 3.06-3.14, 5 Mg 3.16-3.22, 2 In 3.41-3.42
Sc: 0.3262 0.9477 0.5077  5 In 3.06-3.14, 5 Mg 3.18-3.20, 2 Sc 3.35-3.37
In: 0.3228 0.9497 0.0008  5 Sc 3.06-3.14, 5 Mg 3.16-3.22, 2 In 3.41-3.42
Sc: 0.6704 0.2762 0.8700  5 In 3.06-3.14, 5 Mg 3.18-3.20, 2 Sc 3.35-3.37


Here is MgSc6In5 after structural relaxation from the Alexandria database. Energies are from GGA-PBE.

Output
electronic total energy = -4.826 eV/atom
total magnetic moment = 0.000 μB per formula unit
energy relative to the elements = -0.387 eV per atom
space group = C2/m, No. 12

a b c (Å): 5.0541 7.0169 8.8054
angles (deg): 113.48 108.05 90.00
With the nearest neighbours (Å) after each atom.
Sites, in units of the cell vectors:
In: 0.0000 0.5000 0.0000  8 Sc 3.05-3.10
In: 0.6590 0.1590 0.3177  8 Sc 3.01-3.15
Mg: 0.0000 0.0000 0.0000  8 Sc 3.10-3.12, 2 In 3.45
In: 0.3410 0.8410 0.6823  8 Sc 3.01-3.15
Sc: 0.1695 0.4208 0.3372  7 In 3.06-3.15, 1 Mg 3.12
Sc: 0.8305 0.5792 0.6628  7 In 3.06-3.15, 1 Mg 3.12
In: 0.3323 0.3328 0.6655  8 Sc 3.06-3.07
Sc: 0.5000 0.2555 0.0000  6 In 3.01-3.07, 2 Mg 3.10
In: 0.6677 0.6672 0.3345  8 Sc 3.06-3.07
Sc: 0.8304 0.0835 0.6628  7 In 3.06-3.15, 1 Mg 3.12
Sc: 0.1696 0.9165 0.3372  7 In 3.06-3.15, 1 Mg 3.12
Sc: 0.5000 0.7445 0.0000  6 In 3.01-3.07, 2 Mg 3.10


Here is MgSc4In3 after structural relaxation from the Alexandria database. Energies are from GGA-PBE.

Output
electronic total energy = -4.751 eV/atom
total magnetic moment = 0.000 μB per formula unit
energy relative to the elements = -0.359 eV per atom
space group = Pmma, No. 51

a b c (Å): 5.2496 6.6897 10.2506
angles (deg): 90.00 90.00 90.00
With the nearest neighbours (Å) after each atom.
Sites, in units of the cell vectors:
Sc: 0.9032 0.7511 0.2500  6 In 3.08-3.16, 2 Mg 3.11, 4 Sc 3.32-3.36
Sc: 0.9032 0.2489 0.2500  6 In 3.08-3.16, 2 Mg 3.11, 4 Sc 3.32-3.36
Sc: 0.0968 0.2489 0.7500  6 In 3.08-3.16, 2 Mg 3.11, 4 Sc 3.32-3.36
Mg: 0.0000 0.5000 0.5000  8 Sc 3.11, 4 In 3.29-3.34
In: 0.3943 0.5000 0.2500  8 Sc 3.08-3.16, 2 Mg 3.29, 2 In 3.34
In: 0.0000 0.0000 0.0000  8 Sc 3.10-3.11, 2 In 3.31, 2 Mg 3.34
Sc: 0.5000 0.2501 0.0000  6 In 3.11, 2 Mg 3.11, 4 Sc 3.32-3.35
In: 0.3995 0.0000 0.2500  8 Sc 3.09-3.13, 4 In 3.31-3.34
In: 0.6057 0.5000 0.7500  8 Sc 3.08-3.16, 2 Mg 3.29, 2 In 3.34
Sc: 0.0968 0.7511 0.7500  6 In 3.08-3.16, 2 Mg 3.11, 4 Sc 3.32-3.36
Sc: 0.5000 0.7499 0.0000  6 In 3.11, 2 Mg 3.11, 4 Sc 3.32-3.35
Sc: 0.5000 0.7499 0.5000  6 In 3.11, 2 Mg 3.11, 4 Sc 3.32-3.35
In: 0.0000 0.0000 0.5000  8 Sc 3.10-3.11, 2 In 3.31, 2 Mg 3.34
In: 0.6005 0.0000 0.7500  8 Sc 3.09-3.13, 4 In 3.31-3.34
Sc: 0.5000 0.2501 0.5000  6 In 3.11, 2 Mg 3.11, 4 Sc 3.32-3.35
Mg: 0.0000 0.5000 0.0000  8 Sc 3.11, 4 In 3.29-3.34


Here is Mg7ScIn4 after structural relaxation from the Alexandria database. Energies are from GGA-PBE.

Output
electronic total energy = -2.273 eV/atom
total magnetic moment = 0.134 μB per formula unit
energy relative to the elements = 0.098 eV per atom
space group = C2/m, No. 12

a b c (Å): 5.4847 9.0982 6.9274
angles (deg): 84.25 66.68 72.46
With the nearest neighbours (Å) after each atom.
Sites, in units of the cell vectors:
Mg: 0.3471 0.5773 0.7286  4 In 2.92-3.11, 2 Mg 3.03-3.18
Mg: 0.9241 0.3479 0.8038  3 In 2.91-3.13, 2 Mg 2.99-3.03
Mg: 0.6529 0.4227 0.2714  4 In 2.92-3.11, 2 Mg 3.03-3.18
Sc: 0.0000 0.0000 0.0000  2 Mg 2.74
Mg: 0.2155 0.1048 0.4641  4 In 2.91-3.12, 2 Mg 2.99-3.07
Mg: 0.7845 0.8952 0.5359  4 In 2.91-3.12, 2 Mg 2.99-3.07
In: 0.7137 0.6781 0.8946  5 Mg 2.86-3.06, 1 In 3.09
In: 0.4299 0.7765 0.3637  8 Mg 2.91-3.13, 1 In 3.09
Mg: 0.5000 0.0000 0.0000  2 Sc 2.74, 4 In 2.86-3.05, 2 Mg 3.07
In: 0.2863 0.3219 0.1054  5 Mg 2.86-3.06, 1 In 3.09
In: 0.5701 0.2235 0.6363  8 Mg 2.91-3.13, 1 In 3.09
Mg: 0.0759 0.6521 0.1962  3 In 2.91-3.13, 2 Mg 2.99-3.03


Here is Mg2Sc2In3 after structural relaxation from the Alexandria database. Energies are from GGA-PBE.

Output
electronic total energy = -3.630 eV/atom
total magnetic moment = 0.000 μB per formula unit
energy relative to the elements = -0.192 eV per atom
space group = C2/m, No. 12

a b c (Å): 4.8715 4.8557 8.8039
angles (deg): 89.98 106.12 119.89
With the nearest neighbours (Å) after each atom.
Sites, in units of the cell vectors:
Mg: 0.7440 0.8722 0.6113  5 In 2.95-3.24
Sc: 0.7552 0.3776 0.1363  7 In 2.99-3.29
In: 0.4981 0.2492 0.7422  4 Mg 2.95-3.02, 4 Sc 2.99-3.29
In: 0.5019 0.7508 0.2578  4 Mg 2.95-3.02, 4 Sc 2.99-3.29
Mg: 0.2560 0.1278 0.3887  5 In 2.95-3.24
In: 0.0000 0.0000 0.0000  6 Sc 3.03, 2 Mg 3.24
Sc: 0.2448 0.6224 0.8637  7 In 2.99-3.29


What did the third record say?
Here is MgSc3In4 after structural relaxation from the Alexandria database. Energies are from GGA-PBE.

Output
electronic total energy = -4.313 eV/atom
total magnetic moment = 0.759 μB per formula unit
energy relative to the elements = -0.371 eV per atom
space group = I4/mmm, No. 139

a b c (Å): 4.5189 4.5189 9.3452
angles (deg): 103.96 103.99 90.00
With the nearest neighbours (Å) after each atom.
Sites, in units of the cell vectors:
Sc: 0.0000 0.5000 0.0000  8 In 3.14, 4 Mg 3.20
In: 0.3758 0.3757 0.7516  6 Sc 3.10-3.22, 2 Mg 3.14, 4 In 3.19-3.20
Sc: 0.7551 0.2551 0.5103  8 In 3.10-3.22, 4 Sc 3.20
In: 0.1242 0.1241 0.2484  6 Sc 3.10-3.22, 2 Mg 3.14, 4 In 3.19-3.20
Sc: 0.2449 0.7449 0.4897  8 In 3.10-3.22, 4 Sc 3.20
In: 0.6242 0.6243 0.2484  6 Sc 3.10-3.22, 2 Mg 3.14, 4 In 3.19-3.20
In: 0.8758 0.8759 0.7516  6 Sc 3.10-3.22, 2 Mg 3.14, 4 In 3.19-3.20
Mg: 0.5000 0.0000 0.0000  8 In 3.14, 4 Sc 3.20